# 1
## DyEr2Mg (PBE)

Data for crystalline DyEr2Mg at its relaxed geometry.

Calculated values
Its relative energy among the computed polymorphs is 7.0 kJ per mole of atoms.

```
data_DyEr2Mg
_cell_length_a 3.4616
_cell_length_b 3.4616
_cell_length_c 34.0366
_cell_angle_alpha 90.00
_cell_angle_beta 90.00
_cell_angle_gamma 120.00
_space_group_name_H-M_alt 'R 3 m'
_space_group_IT_number 160
_space_group_name_Hall 'R 3 -2"'
loop_
_atom_site_label
_atom_site_fract_x
_atom_site_fract_y
_atom_site_fract_z
Dy1 0.0000 0.0000 0.0000
Er1 0.0000 0.0000 0.4172
Er2 0.0000 0.0000 0.5824
Mg1 0.0000 0.0000 0.8332
```

---

# 2
## Dy4ErMg7 (PBE)

Data for crystalline Dy4ErMg7 at its relaxed geometry.

Calculated values
Its relative energy among the computed polymorphs is 0.0 kJ per mole of atoms.

```
data_Dy4ErMg7
_cell_length_a 5.2888
_cell_length_b 5.2888
_cell_length_c 13.1934
_cell_angle_alpha 90.00
_cell_angle_beta 90.00
_cell_angle_gamma 120.00
_space_group_name_H-M_alt 'P -3 m 1'
_space_group_IT_number 164
_space_group_name_Hall '-P 3 2"'
loop_
_atom_site_label
_atom_site_fract_x
_atom_site_fract_y
_atom_site_fract_z
Dy1 0.3333 0.6667 0.1604
Dy2 0.3333 0.6667 0.4208
Er1 0.0000 0.0000 0.0000
Mg1 0.0000 0.0000 0.2613
Mg2 0.0000 0.0000 0.5000
Mg3 0.3333 0.6667 0.6822
Mg4 0.3333 0.6667 0.9174
```

---

# 3
## DyEr3Mg12 (PBE)

Data for crystalline DyEr3Mg12 at its relaxed geometry.

Calculated values
The total energy comes out at -2.3909 eV per atom.

```
data_DyEr3Mg12
_cell_length_a 4.610
_cell_length_b 4.610
_cell_length_c 18.925
_cell_angle_alpha 90.00
_cell_angle_beta 90.00
_cell_angle_gamma 90.00
_space_group_name_H-M_alt 'P 4/m m m'
_space_group_IT_number 123
_space_group_name_Hall '-P 4 2'
loop_
_atom_site_label
_atom_site_fract_x
_atom_site_fract_y
_atom_site_fract_z
Dy1 0.000 0.000 0.000
Er1 0.000 0.000 0.251
Er2 0.000 0.000 0.500
Mg1 0.000 0.500 0.126
Mg2 0.000 0.500 0.375
Mg3 0.500 0.500 0.000
Mg4 0.500 0.500 0.251
Mg5 0.500 0.500 0.500
```